# 1
VASP calculation (PBE) on CsZnTeI2 after structural relaxation.

abc: 7.427 7.427 7.843
angles: 90.00 90.00 90.00
Last column: magnetic moment on the atom in μB.
Fractional coordinates of all 5 atoms:
Cs (0.000, 0.000, 0.000)  0.00
I (0.000, 0.500, 0.000)  0.30
I (0.500, 0.000, 0.000)  0.30
Zn (0.500, 0.500, 0.500)  0.07
Te (0.000, 0.000, 0.500)  0.98

Summary:
Fermi-level density of states in states/eV per cell: 11.68
Polymorph energy (0 for the lowest one) in kcal/mol of atoms: 20.05
E_form (uncorrected) in meV per atom: 294
Space-group type: P4/mmm, No. 123



# 2
VASP calculation (PBE) on Cs3ThI7 after structural relaxation.

abc: 8.925 8.925 9.928
angles: 63.17 63.17 84.31
Fractional coordinates of all 11 atoms:
Cs (0.778, 0.220, 0.493)
Cs (0.513, 0.513, 0.899)
Cs (0.220, 0.778, 0.493)
Th (0.951, 0.951, 0.046)
I (0.141, 0.141, 0.134)
I (0.642, 0.132, 0.207)
I (0.978, 0.305, 0.739)
I (0.132, 0.642, 0.207)
I (0.659, 0.659, 0.406)
I (0.305, 0.978, 0.739)
I (0.806, 0.806, 0.888)

Summary:
Fermi-level density of states in states/eV per cell: 0.00
E_form (uncorrected) in meV per atom: -1400
Space-group type: Cm, No. 8



# 3
VASP calculation (PBE) on CsTh2I8 after structural relaxation.

abc: 8.774 9.895 9.895
angles: 51.91 82.38 82.38
Last column: magnetic moment on the atom in μB.
Fractional coordinates of all 11 atoms:
Cs (0.000, 0.000, 0.000)  0.00
I (0.294, 0.598, 0.100)  0.00
I (0.706, 0.900, 0.402)  0.00
I (0.284, 0.139, 0.139)  0.00
I (0.716, 0.861, 0.861)  0.00
I (0.294, 0.100, 0.598)  0.00
I (0.706, 0.402, 0.900)  0.00
I (0.729, 0.365, 0.365)  0.00
I (0.271, 0.635, 0.635)  0.00
Th (0.507, 0.253, 0.253)  -0.19
Th (0.493, 0.747, 0.747)  -0.19

Summary:
Fermi-level density of states in states/eV per cell: 2.48
E_form (uncorrected) in meV per atom: -1206
Space-group type: C2/m, No. 12



no.,total moment (μB/cell),calculated density (kg/m3)
1,3.114,2225
2,0.000,4041
3,0.750,4002